Version a
Below is a geometry-optimized ZnAgW3 structure, with properties calculated at the PBE-GGA level.

The structure in POSCAR format:
```
ZnAgW3
1.0
4.5535 0.0000 0.0000
0.0000 4.5535 0.0000
0.0000 0.0000 4.5535
Zn Ag W
1 1 3
Cartesian
0.0000 0.0000 0.0000
2.2767 2.2767 2.2767
0.0000 0.0000 2.2767
0.0000 2.2767 0.0000
2.2767 0.0000 0.0000
```

---

Version b
Below is a geometry-optimized ZnAgW3 structure, with properties calculated at the PBE-GGA level.

The structure in POSCAR format:
```
ZnAgW3
1.0
4.7837 0.0000 0.0000
0.0000 4.7837 0.0000
0.0000 0.0000 4.7837
Zn Ag W
1 1 3
Cartesian
0.0000 0.0000 0.0000
2.3919 2.3919 2.3919
0.0000 2.3919 2.3919
2.3919 0.0000 2.3919
2.3919 2.3919 0.0000
```

---

Preferred: version a; penalty for the next structure: 81.6 kJ/mol of atoms.

---

Version a
Below is a geometry-optimized ZrAgW2 structure, with properties calculated at the PBE-GGA level.

The structure in POSCAR format:
```
ZrAgW2
1.0
2.8302 -4.6420 0.0000
2.8302 4.6420 0.0000
0.0000 0.0000 2.7170
Zr Ag W
1 1 2
Cartesian
0.0000 0.0000 0.0000
2.8302 0.0000 0.0000
1.4151 2.3210 1.3585
1.4151 -2.3210 1.3585
```

---

Version b
Below is a geometry-optimized ZrAgW2 structure, with properties calculated at the PBE-GGA level.

The structure in POSCAR format:
```
ZrAgW2
1.0
1.6960 -2.2009 0.0000
1.6960 2.2009 0.0000
0.0000 0.0000 9.4831
Zr Ag W
1 1 2
Cartesian
0.0000 0.0000 0.0000
0.0000 0.0000 4.7416
1.6960 0.0000 2.4236
1.6960 0.0000 7.0595
```

---

Version c
Below is a geometry-optimized ZrAgW2 structure, with properties calculated at the PBE-GGA level.

The structure in POSCAR format:
```
ZrAgW2
1.0
3.2623 0.0000 0.0000
0.0000 3.2623 0.0000
0.0000 0.0000 6.8465
Zr Ag W
1 1 2
Cartesian
0.0000 0.0000 0.0000
1.6312 1.6312 1.9353
0.0000 0.0000 3.7161
1.6312 1.6312 5.0885
```

---

Preferred: version c; penalty for the next structure: 17.4 kJ/mol of atoms.

---

Version a
Below is a geometry-optimized ZrAgW2 structure, with properties calculated at the PBE-GGA level.

The structure in POSCAR format:
```
ZrAgW2
1.0
-1.9933 1.9933 4.5272
1.9933 -1.9933 4.5272
1.9933 1.9933 -4.5272
Zr Ag W
1 1 2
Cartesian
0.0000 0.0000 0.0000
0.0000 0.0000 4.5272
1.9933 0.0000 2.2636
0.0000 1.9933 2.2636
```

---

Version b
Below is a geometry-optimized ZrAgW2 structure, with properties calculated at the PBE-GGA level.

The structure in POSCAR format:
```
ZrAgW2
1.0
1.4193 0.8194 10.2720
-1.4193 0.8194 10.2720
0.0000 -1.6388 10.2720
Zr Ag W
1 1 2
Cartesian
0.0000 0.0000 0.0000
0.0000 0.0000 15.4080
0.0000 0.0000 7.5960
0.0000 0.0000 23.2199
```

---

Version c
Below is a geometry-optimized ZrAgW2 structure, with properties calculated at the PBE-GGA level.

The structure in POSCAR format:
```
ZrAgW2
1.0
2.7458 0.0000 0.0000
0.0000 4.2898 0.0000
0.0000 0.0000 6.1101
Zr Ag W
1 1 2
Cartesian
0.0000 0.0000 0.0000
1.3729 2.1449 1.5479
0.0000 0.0000 3.1350
1.3729 2.1449 4.4337
```

---

Version d
Below is a geometry-optimized ZrAgW2 structure, with properties calculated at the PBE-GGA level.

The structure in POSCAR format:
```
ZrAgW2
1.0
2.8177 -4.8951 0.0000
2.8177 4.8951 0.0000
-0.9970 0.0000 2.5636
Zr Ag W
1 1 2
Cartesian
0.0000 0.0000 0.0000
2.8177 0.0000 0.0000
0.9103 2.4476 1.2818
0.9103 -2.4476 1.2818
```

---

Preferred: version d; penalty for the next structure: 2.4 kJ/mol of atoms.

---

Version a
Below is a geometry-optimized ZrAgW2 structure, with properties calculated at the PBE-GGA level.

The structure in POSCAR format:
```
ZrAgW2
1.0
3.3680 0.0000 0.0000
0.0000 4.4858 0.0000
0.0000 0.0000 4.7013
Zr Ag W
1 1 2
Cartesian
0.0000 0.0000 0.0000
1.6840 2.2429 0.0000
0.0000 2.2429 2.3506
1.6840 0.0000 2.3506
```

---

Version b
Below is a geometry-optimized ZrAgW2 structure, with properties calculated at the PBE-GGA level.

The structure in POSCAR format:
```
ZrAgW2
1.0
0.0000 3.2904 3.2904
3.2904 0.0000 3.2904
3.2904 3.2904 0.0000
Zr Ag W
1 1 2
Cartesian
0.0000 0.0000 0.0000
4.9356 4.9356 4.9356
1.6452 1.6452 1.6452
3.2904 3.2904 3.2904
```

---

Preferred: version a; penalty for the next structure: 2.3 kJ/mol of atoms.